# 1
# SnBrCl PBE relaxed
data_SnBrCl
_chemical_formula_sum 'Sn4 Br4 Cl4'
_cell_length_a 9.138
_cell_length_b 5.908
_cell_length_c 8.102
_cell_angle_alpha 90.00
_cell_angle_beta 92.25
_cell_angle_gamma 90.00
_space_group_name_H-M_alt 'P 1 21/c 1'
_space_group_IT_number 14
loop_
_space_group_symop_operation_xyz
'x,y,z'
'-x,-y,-z'
'-x,y+1/2,-z+1/2'
'x,-y+1/2,z+1/2'
loop_
_atom_site_label
_atom_site_fract_x
_atom_site_fract_y
_atom_site_fract_z
Sn1 0.149 0.203 0.075
Br1 0.353 0.156 0.343
Cl1 0.105 0.615 0.175
# - raw formation energy (kJ per mole of atoms) = -83.0

=====

# 2
# SnBrCl PBE relaxed
data_SnBrCl
_chemical_formula_sum 'Sn4 Br4 Cl4'
_cell_length_a 7.146
_cell_length_b 7.146
_cell_length_c 7.146
_cell_angle_alpha 90.00
_cell_angle_beta 90.00
_cell_angle_gamma 90.00
_space_group_name_H-M_alt 'F -4 3 m'
_space_group_IT_number 216
_space_group_name_Hall 'F -4 2 3'
loop_
_atom_site_label
_atom_site_fract_x
_atom_site_fract_y
_atom_site_fract_z
Sn1 0.000 0.000 0.000
Br1 0.250 0.250 0.750
Cl1 0.250 0.250 0.250
# - raw formation energy (kJ per mole of atoms) = -78.4

=====

# 3
# SnBr8Cl5 PBE relaxed
data_SnBr8Cl5
_chemical_formula_sum 'Sn2 Br16 Cl10'
_cell_length_a 11.051
_cell_length_b 11.051
_cell_length_c 11.485
_cell_angle_alpha 90.00
_cell_angle_beta 90.00
_cell_angle_gamma 90.00
_space_group_name_H-M_alt 'I -4'
_space_group_IT_number 82
loop_
_space_group_symop_operation_xyz
'x,y,z'
'y,-x,-z'
'-x,-y,z'
'-y,x,-z'
'x+1/2,y+1/2,z+1/2'
'y+1/2,-x+1/2,-z+1/2'
'-x+1/2,-y+1/2,z+1/2'
'-y+1/2,x+1/2,-z+1/2'
loop_
_atom_site_label
_atom_site_fract_x
_atom_site_fract_y
_atom_site_fract_z
Sn1 0.000 0.000 0.000
Br1 0.002 0.345 0.435
Br2 0.102 0.152 0.875
Cl1 0.000 0.500 0.250
Cl2 0.006 0.227 0.589
# - raw formation energy (kJ per mole of atoms) = -20.1